1.
The following is a PBE calculation of CuPd after structural relaxation, from the Alexandria database.

Lattice parameters (Å, degrees): 6.6177 6.6177 6.6177 92.42 92.42 156.27
Atoms (fractional coordinates):
Cu: 0.0408 0.6560 0.6967
Cu: 0.3440 0.0408 0.3848
Cu: 0.6560 0.9592 0.6152
Cu: 0.9592 0.3440 0.3033
Pd: 0.3298 0.6345 0.9643
Pd: 0.3655 0.3298 0.6953
Pd: 0.6345 0.6702 0.3047
Pd: 0.6702 0.3655 0.0357

Energy of formation in eV per formula unit: 0.027
Mass density in g/cm³: 9.9
V in Å³/atom: 14.27
Final energy in eV per atom: -4.6311

2.
The following is a PBE calculation of CuPd4 after structural relaxation, from the Alexandria database.

Lattice parameters (Å, degrees): 9.8032 9.8032 9.8032 163.74 163.74 23.08
Atoms (fractional coordinates):
Cu: 0.0000 0.0000 0.0000
Pd: 0.1977 0.1977 0.0000
Pd: 0.4073 0.4073 0.0000
Pd: 0.5927 0.5927 0.0000
Pd: 0.8023 0.8023 0.0000

Energy of formation in eV per formula unit: -0.204
Mass density in g/cm³: 11.0
V in Å³/atom: 14.77
E above lowest polymorph in meV per atom: 0
Final energy in eV per atom: -5.0142

3.
The following is a PBE calculation of Cu3Pd5 after structural relaxation, from the Alexandria database.

Lattice parameters (Å, degrees): 5.4612 5.4612 3.8282 90.00 90.00 91.92
Atoms (fractional coordinates):
Cu: 0.0000 0.0000 0.0000
Cu: 0.2534 0.7466 0.5000
Cu: 0.7466 0.2534 0.5000
Pd: 0.0000 0.5000 0.0000
Pd: 0.2376 0.2376 0.5000
Pd: 0.5000 0.0000 0.0000
Pd: 0.5000 0.5000 0.0000
Pd: 0.7624 0.7624 0.5000

Energy of formation in eV per formula unit: -0.550
Mass density in g/cm³: 10.5
V in Å³/atom: 14.26
E above lowest polymorph in meV per atom: 3
Final energy in eV per atom: -4.8504

4.
The following is a PBE calculation of CuPd after structural relaxation, from the Alexandria database.

Lattice parameters (Å, degrees): 6.9910 6.9910 4.2988 90.00 90.00 120.00
Atoms (fractional coordinates):
Cu: 0.0458 0.2317 0.2500
Cu: 0.1859 0.9542 0.2500
Cu: 0.2317 0.1859 0.7500
Cu: 0.7683 0.8141 0.2500
Cu: 0.8141 0.0458 0.7500
Cu: 0.9542 0.7683 0.7500
Pd: 0.0918 0.4674 0.7500
Pd: 0.3756 0.9082 0.7500
Pd: 0.4674 0.3756 0.2500
Pd: 0.5326 0.6244 0.7500
Pd: 0.6244 0.0918 0.2500
Pd: 0.9082 0.5326 0.2500

Energy of formation in eV per formula unit: 0.233
Mass density in g/cm³: 9.3
V in Å³/atom: 15.16
Final energy in eV per atom: -4.5282

5.
The following is a PBE calculation of Cu3Pd after structural relaxation, from the Alexandria database.

Lattice parameters (Å, degrees): 3.7488 3.7488 25.6523 90.00 90.00 90.00
Atoms (fractional coordinates):
Cu: 0.0000 0.0000 0.0000
Cu: 0.0000 0.0000 0.1430
Cu: 0.0000 0.0000 0.8570
Cu: 0.0000 0.5000 0.0716
Cu: 0.0000 0.5000 0.2142
Cu: 0.0000 0.5000 0.3567
Cu: 0.0000 0.5000 0.5000
Cu: 0.0000 0.5000 0.6433
Cu: 0.0000 0.5000 0.7858
Cu: 0.0000 0.5000 0.9284
Cu: 0.5000 0.0000 0.0716
Cu: 0.5000 0.0000 0.2142
Cu: 0.5000 0.0000 0.3567
Cu: 0.5000 0.0000 0.5000
Cu: 0.5000 0.0000 0.6433
Cu: 0.5000 0.0000 0.7858
Cu: 0.5000 0.0000 0.9284
Cu: 0.5000 0.5000 0.2856
Cu: 0.5000 0.5000 0.4285
Cu: 0.5000 0.5000 0.5715
Cu: 0.5000 0.5000 0.7144
Pd: 0.0000 0.0000 0.2852
Pd: 0.0000 0.0000 0.4282
Pd: 0.0000 0.0000 0.5718
Pd: 0.0000 0.0000 0.7148
Pd: 0.5000 0.5000 0.0000
Pd: 0.5000 0.5000 0.1432
Pd: 0.5000 0.5000 0.8568

Energy of formation in eV per formula unit: -0.401
Mass density in g/cm³: 9.6
V in Å³/atom: 12.88
Final energy in eV per atom: -4.4706

6.
The following is a PBE calculation of Cu6Pd5 after structural relaxation, from the Alexandria database.

Lattice parameters (Å, degrees): 6.6734 6.6734 5.9055 90.00 90.00 142.98
Atoms (fractional coordinates):
Cu: 0.0000 0.0000 0.2311
Cu: 0.0000 0.0000 0.7689
Cu: 0.3442 0.6558 0.2370
Cu: 0.3442 0.6558 0.7630
Cu: 0.6558 0.3442 0.2370
Cu: 0.6558 0.3442 0.7630
Pd: 0.1682 0.8318 0.5000
Pd: 0.1717 0.8283 0.0000
Pd: 0.5000 0.5000 0.5000
Pd: 0.8283 0.1717 0.0000
Pd: 0.8318 0.1682 0.5000

Energy of formation in eV per formula unit: -0.126
Mass density in g/cm³: 9.6
V in Å³/atom: 14.40
E above lowest polymorph in meV per atom: 0
Final energy in eV per atom: -4.6061

7.
The following is a PBE calculation of CuPd after structural relaxation, from the Alexandria database.

Lattice parameters (Å, degrees): 6.8368 6.8368 6.8368 90.00 90.00 90.00
Atoms (fractional coordinates):
Cu: 0.0000 0.2500 0.5000
Cu: 0.0000 0.7500 0.5000
Cu: 0.2500 0.5000 0.0000
Cu: 0.5000 0.0000 0.2500
Cu: 0.5000 0.0000 0.7500
Cu: 0.7500 0.5000 0.0000
Pd: 0.0000 0.5000 0.2500
Pd: 0.0000 0.5000 0.7500
Pd: 0.2500 0.0000 0.5000
Pd: 0.5000 0.2500 0.0000
Pd: 0.5000 0.7500 0.0000
Pd: 0.7500 0.0000 0.5000

Energy of formation in eV per formula unit: 2.043
Mass density in g/cm³: 5.3
V in Å³/atom: 26.63
Final energy in eV per atom: -3.6229

8.
The following is a PBE calculation of Cu3Pd2 after structural relaxation, from the Alexandria database.

Lattice parameters (Å, degrees): 4.5800 4.5800 5.9038 129.18 129.18 49.08
Atoms (fractional coordinates):
Cu: 0.0000 0.0000 0.0000
Cu: 0.1978 0.1978 0.5950
Cu: 0.8022 0.8022 0.4050
Pd: 0.4075 0.4075 0.2005
Pd: 0.5925 0.5925 0.7995

Energy of formation in eV per formula unit: -0.518
Mass density in g/cm³: 10.0
V in Å³/atom: 13.46
E above lowest polymorph in meV per atom: 0
Final energy in eV per atom: -4.6385

9.
The following is a PBE calculation of Cu5Pd2 after structural relaxation, from the Alexandria database.

Lattice parameters (Å, degrees): 6.3396 6.3396 6.8238 92.47 92.47 41.78
Atoms (fractional coordinates):
Cu: 0.0230 0.6807 0.0362
Cu: 0.1141 0.4582 0.6838
Cu: 0.1719 0.8281 0.7500
Cu: 0.3193 0.9770 0.4638
Cu: 0.4582 0.1141 0.1838
Cu: 0.5418 0.8859 0.8162
Cu: 0.6807 0.0230 0.5362
Cu: 0.8281 0.1719 0.2500
Cu: 0.8859 0.5418 0.3162
Cu: 0.9770 0.3193 0.9638
Pd: 0.2467 0.6014 0.3955
Pd: 0.3986 0.7533 0.1045
Pd: 0.6014 0.2467 0.8955
Pd: 0.7533 0.3986 0.6045

Energy of formation in eV per formula unit: -0.587
Mass density in g/cm³: 9.7
V in Å³/atom: 13.04
Final energy in eV per atom: -4.4933

10.
The following is a PBE calculation of Cu3Pd8 after structural relaxation, from the Alexandria database.

Lattice parameters (Å, degrees): 4.7819 4.7819 9.9127 103.58 103.58 47.20
Atoms (fractional coordinates):
Cu: 0.0000 0.0000 0.0000
Cu: 0.0893 0.0893 0.6342
Cu: 0.9107 0.9107 0.3658
Pd: 0.1841 0.1841 0.2732
Pd: 0.2726 0.2726 0.9094
Pd: 0.3663 0.3663 0.5449
Pd: 0.4557 0.4557 0.1823
Pd: 0.5443 0.5443 0.8177
Pd: 0.6337 0.6337 0.4551
Pd: 0.7274 0.7274 0.0906
Pd: 0.8159 0.8159 0.7268

Energy of formation in eV per formula unit: -0.582
Mass density in g/cm³: 10.8
V in Å³/atom: 14.61
E above lowest polymorph in meV per atom: 0
Final energy in eV per atom: -4.9467

11.
The following is a PBE calculation of Cu13Pd2 after structural relaxation, from the Alexandria database.

Lattice parameters (Å, degrees): 7.1985 7.1985 7.1985 55.89 55.89 55.89
Atoms (fractional coordinates):
Cu: 0.0000 0.0000 0.0000
Cu: 0.0132 0.0132 0.6500
Cu: 0.0132 0.6500 0.0132
Cu: 0.2315 0.2315 0.6030
Cu: 0.2315 0.6030 0.2315
Cu: 0.3500 0.9868 0.9868
Cu: 0.3970 0.7685 0.7685
Cu: 0.6030 0.2315 0.2315
Cu: 0.6500 0.0132 0.0132
Cu: 0.7685 0.3970 0.7685
Cu: 0.7685 0.7685 0.3970
Cu: 0.9868 0.3500 0.9868
Cu: 0.9868 0.9869 0.3500
Pd: 0.2338 0.2338 0.2338
Pd: 0.7662 0.7662 0.7662

Energy of formation in eV per formula unit: 4.392
Mass density in g/cm³: 7.2
V in Å³/atom: 15.91
E above lowest polymorph in meV per atom: 338
Final energy in eV per atom: -3.9496

12.
The following is a PBE calculation of CuPd after structural relaxation, from the Alexandria database.

Lattice parameters (Å, degrees): 3.9275 3.9275 3.9275 60.00 60.00 60.00
Atoms (fractional coordinates):
Cu: 0.0000 0.0000 0.0000
Pd: 0.7500 0.7500 0.7500

Energy of formation in eV per formula unit: 1.908
Mass density in g/cm³: 6.6
V in Å³/atom: 21.42
Final energy in eV per atom: -3.6904